1.
## CeLuCd2 (GGA-PBE)

Data for a geometry-optimized CeLuCd2 structure.

Cell lengths 5.3167, 5.3167, 5.3167 Å; angles 60.00, 60.00, 60.00 degrees
Closest atoms and distances in Å follow each position.
Fractional coordinates of all 4 atoms:
Cd1 0.2500 0.2500 0.2500  4 Ce 3.26, 4 Lu 3.26
Cd2 0.7500 0.7500 0.7500  4 Ce 3.26, 4 Lu 3.26
Ce1 0.5000 0.5000 0.5000  8 Cd 3.26
Lu1 0.0000 0.0000 0.0000  8 Cd 3.26

* DFT total energy: -13.09 eV/cell
* crystal system: cubic
* SG: Fm-3m

---

2.
## CeLuCd (GGA-PBE)

Data for a geometry-optimized CeLuCd structure.

Cell lengths 3.4374, 3.4374, 7.3576 Å; angles 103.51, 103.51, 90.00 degrees
Closest atoms and distances in Å follow each position.
Fractional coordinates of all 3 atoms:
Lu1 0.0114 0.0114 0.0228  4 Cd 3.19, 4 Lu 3.44, 4 Ce 3.51
Ce1 0.3287 0.3287 0.6574  4 Cd 3.38, 4 Ce 3.44, 4 Lu 3.51
Cd1 0.6599 0.6599 0.3198  4 Lu 3.19, 4 Ce 3.38, 4 Cd 3.44

* DFT total energy: -11.68 eV/cell
* crystal system: tetragonal
* SG: I4mm

---

3.
## CeLuCd (GGA-PBE)

Data for a geometry-optimized CeLuCd structure.

Cell lengths 3.0460, 5.3824, 5.3824 Å; angles 120.00, 90.00, 90.00 degrees
Closest atoms and distances in Å follow each position.
Fractional coordinates of all 3 atoms:
Ce1 0.1641 0.0000 0.0000  2 Ce 3.05, 3 Lu 3.11
Lu1 0.1698 0.3333 0.6667  2 Lu 3.05, 3 Ce 3.11
Cd1 0.6661 0.6667 0.3333  2 Cd 3.05

* DFT total energy: -11.13 eV/cell
* crystal system: trigonal
* SG: P3m1

---

4.
## Ce2LuCd (GGA-PBE)

Data for a geometry-optimized Ce2LuCd structure.

Cell lengths 3.2636, 3.2636, 12.5335 Å; angles 82.52, 82.52, 60.00 degrees
Closest atoms and distances in Å follow each position.
Fractional coordinates of all 4 atoms:
Cd1 0.0000 0.0000 0.0000  6 Cd 3.26, 2 Ce 3.31
Ce1 0.9110 0.9110 0.2671  6 Ce 3.26, 1 Cd 3.31, 3 Lu 3.45
Ce2 0.0890 0.0890 0.7329  6 Ce 3.26, 1 Cd 3.31, 3 Lu 3.45
Lu1 0.5000 0.5000 0.5000  6 Lu 3.26, 6 Ce 3.45

* DFT total energy: -16.46 eV/cell
* crystal system: trigonal
* SG: R-3m

---

5.
## CeLuCd2 (GGA-PBE)

Data for a geometry-optimized CeLuCd2 structure.

Cell lengths 4.5700, 4.7709, 4.7709 Å; angles 90.00, 90.00, 90.00 degrees
Closest atoms and distances in Å follow each position.
Fractional coordinates of all 4 atoms:
Cd1 0.0000 0.0000 0.5000  4 Ce 3.30, 4 Lu 3.30, 4 Cd 3.37
Cd2 0.0000 0.5000 0.0000  4 Ce 3.30, 4 Lu 3.30, 4 Cd 3.37
Lu1 0.5000 0.5000 0.5000  8 Cd 3.30, 4 Ce 3.37
Ce1 0.5000 0.0000 0.0000  8 Cd 3.30, 4 Lu 3.37

* DFT total energy: -12.90 eV/cell
* crystal system: tetragonal
* SG: P4/mmm

---

6.
## CeLu2Cd (GGA-PBE)

Data for a geometry-optimized CeLu2Cd structure.

Cell lengths 4.7066, 4.8254, 4.8254 Å; angles 90.00, 90.00, 90.00 degrees
Closest atoms and distances in Å follow each position.
Fractional coordinates of all 4 atoms:
Ce1 0.5000 0.5000 0.5000  8 Lu 3.37, 4 Cd 3.41
Lu1 0.0000 0.5000 0.0000  4 Ce 3.37, 4 Cd 3.37, 4 Lu 3.41
Lu2 0.0000 0.0000 0.5000  4 Ce 3.37, 4 Cd 3.37, 4 Lu 3.41
Cd1 0.5000 0.0000 0.0000  8 Lu 3.37, 4 Ce 3.41

* DFT total energy: -16.02 eV/cell
* crystal system: tetragonal
* SG: P4/mmm

---

7.
## Ce2LuCd (GGA-PBE)

Data for a geometry-optimized Ce2LuCd structure.

Cell lengths 3.5747, 5.6631, 5.6631 Å; angles 90.00, 90.00, 90.00 degrees
Closest atoms and distances in Å follow each position.
Fractional coordinates of all 4 atoms:
Ce1 0.0000 0.0000 0.5000  4 Cd 3.35, 4 Lu 3.35, 2 Ce 3.57
Ce2 0.0000 0.5000 0.0000  4 Cd 3.35, 4 Lu 3.35, 2 Ce 3.57
Lu1 0.5000 0.5000 0.5000  8 Ce 3.35, 2 Lu 3.57
Cd1 0.5000 0.0000 0.0000  8 Ce 3.35, 2 Cd 3.57

* DFT total energy: -17.13 eV/cell
* crystal system: tetragonal
* SG: P4/mmm

---

8.
## Ce2LuCd (GGA-PBE)

Data for a geometry-optimized Ce2LuCd structure.

Cell lengths 5.4514, 5.4514, 5.4514 Å; angles 60.00, 60.00, 60.00 degrees
Closest atoms and distances in Å follow each position.
Fractional coordinates of all 4 atoms:
Lu1 0.0000 0.0000 0.0000  8 Ce 3.34
Ce1 0.2500 0.2500 0.2500  4 Cd 3.34, 4 Lu 3.34
Cd1 0.5000 0.5000 0.5000  8 Ce 3.34
Ce2 0.7500 0.7500 0.7500  4 Cd 3.34, 4 Lu 3.34

* DFT total energy: -16.99 eV/cell
* crystal system: cubic
* SG: Fm-3m

---

9.
## CeLu2Cd (GGA-PBE)

Data for a geometry-optimized CeLu2Cd structure.

Cell lengths 3.4524, 3.4524, 10.8336 Å; angles 80.83, 80.83, 60.00 degrees
Closest atoms and distances in Å follow each position.
Fractional coordinates of all 4 atoms:
Cd1 0.0000 0.0000 0.0000  6 Lu 3.21, 6 Cd 3.45
Lu1 0.7454 0.7454 0.7637  3 Cd 3.21, 3 Ce 3.44, 6 Lu 3.45
Ce1 0.5000 0.5000 0.5000  6 Lu 3.44, 6 Ce 3.45
Lu2 0.2546 0.2546 0.2363  3 Cd 3.21, 3 Ce 3.44, 6 Lu 3.45

* DFT total energy: -16.08 eV/cell
* crystal system: trigonal
* SG: R-3m

---

10.
## Ce2LuCd (GGA-PBE)

Data for a geometry-optimized Ce2LuCd structure.

Cell lengths 3.2996, 3.2996, 10.2033 Å; angles 90.00, 90.00, 90.00 degrees
Closest atoms and distances in Å follow each position.
Fractional coordinates of all 4 atoms:
Ce1 0.0000 0.0000 0.2389  4 Ce 3.30, 4 Cd 3.37, 4 Lu 3.54
Ce2 0.0000 0.0000 0.7611  4 Ce 3.30, 4 Cd 3.37, 4 Lu 3.54
Lu1 0.5000 0.5000 0.5000  4 Lu 3.30, 8 Ce 3.54
Cd1 0.5000 0.5000 0.0000  4 Cd 3.30, 8 Ce 3.37

* DFT total energy: -17.29 eV/cell
* crystal system: tetragonal
* SG: P4/mmm

---

11.
## CeLuCd4 (GGA-PBE)

Data for a geometry-optimized CeLuCd4 structure.

Cell lengths 5.9161, 5.9161, 5.9161 Å; angles 60.00, 60.00, 60.00 degrees
Closest atoms and distances in Å follow each position.
Fractional coordinates of all 6 atoms:
Lu1 0.0000 0.0000 0.0000  12 Cd 3.47, 4 Ce 3.62
Ce1 0.2500 0.2500 0.2500  12 Cd 3.47, 4 Lu 3.62
Cd1 0.6251 0.1248 0.6251  6 Cd 2.96
Cd2 0.6251 0.6251 0.1248  6 Cd 2.96
Cd3 0.1248 0.6251 0.6251  6 Cd 2.96
Cd4 0.6251 0.6251 0.6251  6 Cd 2.96

* DFT total energy: -15.22 eV/cell
* crystal system: cubic
* SG: F-43m

---

12.
## CeLuMgCd (GGA-PBE)

Data for a geometry-optimized CeLuMgCd structure.

Cell lengths 5.3230, 5.3230, 5.3230 Å; angles 60.00, 60.00, 60.00 degrees
Closest atoms and distances in Å follow each position.
Fractional coordinates of all 4 atoms:
Lu1 0.5000 0.5000 0.5000  4 Cd 3.26, 4 Mg 3.26
Ce1 0.0000 0.0000 0.0000  4 Cd 3.26, 4 Mg 3.26
Cd1 0.7500 0.7500 0.7500  4 Lu 3.26, 4 Ce 3.26
Mg1 0.2500 0.2500 0.2500  4 Ce 3.26, 4 Lu 3.26

* DFT total energy: -13.33 eV/cell
* crystal system: cubic
* SG: F-43m

---

Number 1: total moment 1.3 μB per cell, calculated density 8.436 g/cm3. Number 2: total moment 1.1 μB per cell, calculated density 8.651 g/cm3. Number 3: total moment 1.2 μB per cell, calculated density 9.289 g/cm3. Number 4: total moment 1.4 μB per cell, calculated density 8.247 g/cm3. Number 5: total moment 1.3 μB per cell, calculated density 8.619 g/cm3. Number 6: total moment 1.8 μB per cell, calculated density 9.129 g/cm3. Number 7: total moment 2.1 μB per cell, calculated density 8.222 g/cm3. Number 8: total moment 2.5 μB per cell, calculated density 8.228 g/cm3. Number 9: total moment 0.6 μB per cell, calculated density 9.101 g/cm3. Number 10: total moment 1.8 μB per cell, calculated density 8.485 g/cm3. Number 11: total moment 1.0 μB per cell, calculated density 8.673 g/cm3. Number 12: total moment 0.9 μB per cell, calculated density 7.035 g/cm3.